Entry 1:
{"formula": "BeH2", "functional": "GGA-PBE", "state": "optimized geometry", "dos_at_fermi_per_ev_fu": 0.26, "dft_energy_ha_per_atom": -0.1182, "cell": [[-1.3079, 1.3048, -0.8411], [-1.8007, 0.9143, 1.7692], [2.0741, 4.0463, 0.6022]], "species": ["Be", "H", "H"], "frac_coords": [[0.5000, 0.0000, 0.0000], [0.8785, 0.0000, 0.2431], [0.1215, 0.0000, 0.7569]]}

***

Entry 2:
{"formula": "BeH2", "functional": "GGA-PBE", "state": "optimized geometry", "dos_at_fermi_per_ev_fu": 0.00, "dft_energy_ha_per_atom": -0.1293, "cell": [[2.4025, 0.0000, 0.0000], [0.0000, 3.8617, 0.0000], [-1.1003, 0.0000, 4.9173]], "species": ["Be", "Be", "H", "H", "H", "H"], "frac_coords": [[0.5678, 0.8683, 0.6481], [0.4322, 0.3683, 0.3519], [0.1400, 0.7868, 0.8056], [0.8600, 0.2868, 0.1944], [0.4437, 0.7396, 0.3767], [0.5563, 0.2396, 0.6233]]}

***

Entry 3:
{"formula": "Be2H7", "functional": "GGA-PBE", "state": "optimized geometry", "dos_at_fermi_per_ev_fu": 3.29, "dft_energy_ha_per_atom": -0.0968, "cell": [[3.2391, 0.0000, 1.8701], [1.0797, 3.0538, 1.8701], [0.0000, 0.0000, 3.7402]], "species": ["Be", "Be", "H", "H", "H", "H", "H", "H", "H"], "frac_coords": [[0.7500, 0.7500, 0.7500], [0.2500, 0.2500, 0.2500], [0.0000, 0.0000, 0.0000], [0.2663, 0.7337, 0.7337], [0.7337, 0.7337, 0.2663], [0.7337, 0.2663, 0.7337], [0.7337, 0.2663, 0.2663], [0.2663, 0.2663, 0.7337], [0.2663, 0.7337, 0.2663]]}

***

Entry 4:
{"formula": "BeH2", "functional": "GGA-PBE", "state": "optimized geometry", "dos_at_fermi_per_ev_fu": 0.00, "dft_energy_ha_per_atom": -0.1271, "cell": [[-2.5214, -3.0721, -1.6382], [1.6279, -0.4976, -1.5725], [1.9882, -2.1368, 2.7344]], "species": ["Be", "Be", "H", "H", "H", "H"], "frac_coords": [[0.0000, 0.5000, 0.0000], [0.0000, 0.0000, 0.5000], [0.7935, 0.0000, 0.7950], [0.2065, 0.0000, 0.2050], [0.7935, 0.5000, 0.2950], [0.2065, 0.5000, 0.7050]]}

***

Entry 5:
{"formula": "BeH2", "functional": "GGA-PBE", "state": "optimized geometry", "dos_at_fermi_per_ev_fu": 0.00, "dft_energy_ha_per_atom": -0.1307, "cell": [[6.1734, -0.0043, 0.0224], [0.1851, 6.1707, -0.0224], [-1.5340, -4.7797, 3.5935]], "species": ["Be", "Be", "Be", "Be", "Be", "Be", "H", "H", "H", "H", "H", "H", "H", "H", "H", "H", "H", "H"], "frac_coords": [[0.7500, 0.0000, 0.7500], [0.2500, 0.0000, 0.2500], [0.8322, 0.9512, 0.1190], [0.1678, 0.0488, 0.8810], [0.6678, 0.2868, 0.6190], [0.3322, 0.7132, 0.3810], [0.7581, 0.1423, 0.0783], [0.9360, 0.8577, 0.6159], [0.7419, 0.3201, 0.8841], [0.5640, 0.6799, 0.4217], [0.2419, 0.8577, 0.9217], [0.0640, 0.1423, 0.3841], [0.2581, 0.6799, 0.1159], [0.4360, 0.3201, 0.5783], [0.6855, 0.9537, 0.2682], [0.3145, 0.0463, 0.7318], [0.8145, 0.5827, 0.7682], [0.1855, 0.4173, 0.2318]]}

***

Entry 6:
{"formula": "Be8H", "functional": "GGA-PBE", "state": "optimized geometry", "dos_at_fermi_per_ev_fu": 0.72, "dft_energy_ha_per_atom": -0.1314, "cell": [[-2.6346, -2.2929, -3.1862], [-2.1478, -2.6620, 1.9857], [-2.2271, 3.2394, 1.2927]], "species": ["Be", "Be", "Be", "Be", "Be", "Be", "Be", "Be", "H"], "frac_coords": [[0.8053, 0.1760, 0.4065], [0.3990, 0.6111, 0.2031], [0.9832, 0.0170, 0.9518], [0.9038, 0.6184, 0.2173], [0.5666, 0.4838, 0.7542], [0.4880, 0.0251, 0.9661], [0.0825, 0.4603, 0.7631], [0.3205, 0.1525, 0.4148], [0.9438, 0.8181, 0.5847]]}